[1]
First-principles (PBE-GGA) data for crystalline V5Mo4Au at its relaxed geometry, as listed in Alexandria.

```
10
Lattice="3.106 0.000 0.000 0.000 3.106 0.000 0.000 0.000 15.393" Properties=species:S:1:pos:R:3 pbc="T T T"
V 1.553 1.553 1.717
V 1.553 1.553 4.648
V 1.553 1.553 7.697
V 1.553 1.553 10.745
V 1.553 1.553 13.676
Mo 0.000 0.000 3.104
Mo 0.000 0.000 6.173
Mo 0.000 0.000 9.221
Mo 0.000 0.000 12.289
Au 0.000 0.000 0.000
```

Space-group type: P4/mmm, No. 123
Volume (Å³ per cell): 148.5

=====

[2]
First-principles (PBE-GGA) data for crystalline V2MoAu at its relaxed geometry, as listed in Alexandria.

```
4
Lattice="3.403 0.000 0.000 0.000 4.201 0.000 0.000 0.000 4.201" Properties=species:S:1:pos:R:3 pbc="T T T"
Mo 1.701 0.000 0.000
Au 1.701 2.100 2.100
V 0.000 0.000 2.100
V 0.000 2.100 0.000
```

Space-group type: P4/mmm, No. 123
Volume (Å³ per cell): 60.0

=====

[3]
First-principles (PBE-GGA) data for crystalline V3MoAu at its relaxed geometry, as listed in Alexandria.

```
5
Lattice="-1.886 -2.272 -3.425 3.974 -0.044 -2.158 1.051 -3.910 2.015" Properties=species:S:1:pos:R:3 pbc="T T T"
Mo 0.000 0.000 0.000
Au 1.569 -3.113 -1.785
V 1.987 -0.022 -1.079
V 0.525 -1.955 1.007
V -0.943 -1.136 -1.713
```

Space-group type: Pm-3m, No. 221
Volume (Å³ per cell): 92.5

=====

[4]
First-principles (PBE-GGA) data for crystalline Zr2VMoAu at its relaxed geometry, as listed in Alexandria.

```
5
Lattice="-3.473 2.319 -2.955 -3.502 -2.634 2.048 -0.628 3.610 3.570" Properties=species:S:1:pos:R:3 pbc="T T T"
Mo -1.751 -1.317 1.024
Au 0.000 0.000 0.000
Zr -0.314 1.805 1.785
Zr -1.736 1.159 -1.478
V -3.801 1.647 1.331
```

Space-group type: P4/mmm, No. 123
Volume (Å³ per cell): 126.6

=====

[5]
First-principles (PBE-GGA) data for crystalline MoW2Au at its relaxed geometry, as listed in Alexandria.

```
4
Lattice="-3.639 2.443 1.184 -3.876 -2.090 1.104 -1.431 -0.002 4.309" Properties=species:S:1:pos:R:3 pbc="T T T"
Au -4.473 0.175 3.298
Mo -6.709 0.263 4.948
W 0.000 0.000 0.000
W -2.236 0.088 1.649
```

Space-group type: F-43m, No. 216
Volume (Å³ per cell): 66.2

=====

[6]
First-principles (PBE-GGA) data for crystalline MoW2Au at its relaxed geometry, as listed in Alexandria.

```
4
Lattice="-3.229 -3.315 1.668 3.783 -2.285 -2.160 1.384 -0.083 2.513" Properties=species:S:1:pos:R:3 pbc="T T T"
Au -0.922 -1.699 2.091
Mo 2.584 -1.184 0.177
W 0.000 0.000 0.000
W 0.277 -2.800 -0.246
```

Space-group type: Cmmm, No. 65
Volume (Å³ per cell): 65.3

=====

[7]
First-principles (PBE-GGA) data for crystalline MoW2Au at its relaxed geometry, as listed in Alexandria.

```
4
Lattice="-0.350 0.238 2.710 2.468 -1.136 -0.376 3.788 8.307 -0.239" Properties=species:S:1:pos:R:3 pbc="T T T"
Au 1.893 4.153 -0.120
Mo 3.932 5.851 0.985
W 3.786 8.304 -0.239
W 1.976 1.562 1.109
```

Space-group type: Cmm2, No. 35
Volume (Å³ per cell): 65.8

=====

[8]
First-principles (PBE-GGA) data for crystalline MoW2Au at its relaxed geometry, as listed in Alexandria.

```
4
Lattice="2.981 -2.901 1.816 -1.413 -3.176 2.919 -0.039 -4.366 -1.240" Properties=species:S:1:pos:R:3 pbc="T T T"
Mo 0.000 0.000 0.000
Au 0.765 -5.222 1.747
W 0.382 -2.611 0.874
W 1.147 -7.832 2.621
```

Space-group type: Fm-3m, No. 225
Volume (Å³ per cell): 66.1

=====

[9]
First-principles (PBE-GGA) data for crystalline MoW2Au at its relaxed geometry, as listed in Alexandria.

```
4
Lattice="2.675 0.000 0.000 0.000 4.305 0.000 0.000 0.000 5.726" Properties=species:S:1:pos:R:3 pbc="T T T"
Au 0.000 0.000 2.870
Mo 1.338 2.152 4.331
W 0.000 0.000 5.724
W 1.338 2.152 1.389
```

Space-group type: Pmm2, No. 25
Volume (Å³ per cell): 65.9

=====

[10]
First-principles (PBE-GGA) data for crystalline MoW2Au at its relaxed geometry, as listed in Alexandria.

```
4
Lattice="4.929 -0.010 0.016 4.182 2.610 0.016 0.600 0.171 5.093" Properties=species:S:1:pos:R:3 pbc="T T T"
Au 4.853 1.385 2.560
Mo 2.406 0.687 1.288
W 0.006 0.002 0.002
W 7.301 2.083 3.838
```

Space-group type: Cm, No. 8
Volume (Å³ per cell): 65.7

=====

[11]
First-principles (PBE-GGA) data for crystalline MoW2Au at its relaxed geometry, as listed in Alexandria.

```
4
Lattice="9.946 0.013 0.007 9.549 2.782 0.007 9.549 1.369 2.422" Properties=species:S:1:pos:R:3 pbc="T T T"
Au 7.261 1.041 0.609
Mo 21.783 3.123 1.828
W 29.041 4.163 2.437
W 14.525 2.082 1.219
```

Space-group type: R-3m, No. 166
Volume (Å³ per cell): 66.5

=====

[12]
First-principles (PBE-GGA) data for crystalline MoW2Au at its relaxed geometry, as listed in Alexandria.

```
4
Lattice="-2.598 0.821 0.317 -0.029 -2.742 -0.041 1.061 -0.147 9.081" Properties=species:S:1:pos:R:3 pbc="T T T"
Au -1.048 -0.997 2.408
Mo -0.518 -1.071 6.948
W 1.052 -0.146 9.003
W 0.540 -0.075 4.618
```

Space-group type: Cmmm, No. 65
Volume (Å³ per cell): 65.8

=====

[13]
First-principles (PBE-GGA) data for crystalline Mo4WAu at its relaxed geometry, as listed in Alexandria.

```
6
Lattice="-4.434 -2.377 1.325 -4.407 1.116 -2.530 -2.125 -3.512 -3.197" Properties=species:S:1:pos:R:3 pbc="T T T"
Mo -6.332 -2.980 -0.984
Mo -5.174 -3.549 -3.252
Mo -6.318 -1.228 -2.918
Mo -4.108 -1.788 -1.649
W -8.224 -3.579 -3.301
Au 0.000 0.000 0.000
```

Space-group type: F-43m, No. 216
Volume (Å³ per cell): 99.6

=====

[14]
First-principles (PBE-GGA) data for crystalline MoW3Au at its relaxed geometry, as listed in Alexandria.

```
5
Lattice="4.712 0.000 0.000 0.000 4.712 0.000 0.000 0.000 4.712" Properties=species:S:1:pos:R:3 pbc="T T T"
Mo 0.000 0.000 0.000
Au 2.356 2.356 2.356
W 0.000 2.356 0.000
W 0.000 0.000 2.356
W 2.356 0.000 0.000
```

Space-group type: Pm-3m, No. 221
Volume (Å³ per cell): 104.6

=====

[15]
First-principles (PBE-GGA) data for crystalline MoW2Au at its relaxed geometry, as listed in Alexandria.

```
4
Lattice="4.892 -0.186 -0.290 1.770 4.564 0.290 -3.139 -2.480 2.835" Properties=species:S:1:pos:R:3 pbc="T T T"
Au 2.542 -0.239 1.273
Mo 0.981 2.136 1.562
W 0.014 0.009 0.000
W 3.317 2.179 0.000
```

Space-group type: Immm, No. 71
Volume (Å³ per cell): 65.0

=====

[16]
First-principles (PBE-GGA) data for crystalline MoW2Au at its relaxed geometry, as listed in Alexandria.

```
4
Lattice="4.871 0.003 0.000 1.466 4.646 0.000 -3.168 -2.324 2.879" Properties=species:S:1:pos:R:3 pbc="T T T"
Au 3.168 2.324 0.000
Mo 2.436 0.001 1.440
W 0.000 0.000 0.000
W 0.733 2.323 1.440
```

Space-group type: I-4m2, No. 119
Volume (Å³ per cell): 65.1

=====

[17]
First-principles (PBE-GGA) data for crystalline MoW2Au at its relaxed geometry, as listed in Alexandria.

```
8
Lattice="-4.305 5.130 2.775 -5.744 -3.129 -3.127 -5.409 -0.535 2.066" Properties=species:S:1:pos:R:3 pbc="T T T"
Mo -5.024 1.001 -0.176
Mo -8.088 -1.332 -0.618
Au 0.000 0.000 0.000
Au -7.369 2.798 2.333
W -4.670 2.573 1.802
W -5.571 -1.339 -1.032
W -7.946 0.283 1.352
W -12.727 1.416 1.309
```

Space-group type: I-42d, No. 122
Volume (Å³ per cell): 144.2

=====

[18]
First-principles (PBE-GGA) data for crystalline Mo3WAu at its relaxed geometry, as listed in Alexandria.

```
5
Lattice="4.752 0.000 0.000 0.000 4.752 0.000 0.000 0.000 4.752" Properties=species:S:1:pos:R:3 pbc="T T T"
Mo 0.000 2.376 0.000
Mo 0.000 0.000 2.376
Mo 2.376 0.000 0.000
Au 0.000 0.000 0.000
W 2.376 2.376 2.376
```

Space-group type: Pm-3m, No. 221
Volume (Å³ per cell): 107.3

=====

[19]
First-principles (PBE-GGA) data for crystalline MoW2Au at its relaxed geometry, as listed in Alexandria.

```
4
Lattice="-2.315 1.818 1.602 0.015 -2.206 2.524 4.231 3.057 2.647" Properties=species:S:1:pos:R:3 pbc="T T T"
Au -0.092 0.570 2.725
Mo 2.023 2.099 4.048
W 4.178 3.019 2.614
W 2.169 1.567 1.357
```

Space-group type: P4/mmm, No. 123
Volume (Å³ per cell): 65.7

=====

[20]
First-principles (PBE-GGA) data for crystalline MoW2Au at its relaxed geometry, as listed in Alexandria.

```
4
Lattice="-1.003 3.706 -1.969 -2.634 -0.737 -0.047 -2.606 1.926 4.954" Properties=species:S:1:pos:R:3 pbc="T T T"
Au -2.624 0.596 2.458
Mo -4.610 2.738 2.775
W -5.225 1.190 4.902
W -1.643 2.155 0.165
```

Space-group type: Pm, No. 6
Volume (Å³ per cell): 66.2

=====

no.,Fermi-level density of states (states/eV/f.u.),raw total energy (eV/atom),energy of formation from the pure elements (eV/f.u.)
1,8.79,-9.30,-0.82
2,4.58,-8.06,0.11
3,8.45,-7.09,6.03
4,10.51,-6.51,7.78
5,4.99,-9.52,1.95
6,2.49,-9.65,1.42
7,2.46,-9.81,0.78
8,5.78,-9.45,2.22
9,3.25,-9.66,1.38
10,3.03,-9.63,1.48
11,4.21,-9.56,1.79
12,2.55,-9.77,0.95
13,4.79,-9.57,2.13
14,4.63,-8.52,10.35
15,3.10,-9.69,1.25
16,2.87,-9.67,1.33
17,3.74,-8.99,4.06
18,10.10,-7.11,13.16
19,3.16,-9.66,1.38
20,3.40,-9.70,1.20